No. 1
Entry from the Alexandria database: a geometry-optimized MgCoSi4O10 structure (PBE with a Hubbard U).

Values from the calculation:
mass density = 3.00 Mg/m³
electronic total energy = -469.087 eV/cell
total magnetic moment = 0.19 μB per atom

The structure in CIF format:
```
data_MgCoSi4O10
_cell_length_a 7.266
_cell_length_b 7.266
_cell_length_c 14.931
_cell_angle_alpha 90.00
_cell_angle_beta 90.00
_cell_angle_gamma 90.00
_symmetry_space_group_name_H-M 'P 4/n c c'
_symmetry_Int_Tables_number 130
loop_
_symmetry_equiv_pos_as_xyz
'x,y,z'
'-x,-y,-z'
'-y+1/2,x,z'
'y+1/2,-x,-z'
'-x+1/2,-y+1/2,z'
'x+1/2,y+1/2,-z'
'y,-x+1/2,z'
'-y,x+1/2,-z'
'x+1/2,-y,-z+1/2'
'-x+1/2,y,z+1/2'
'-y,-x,-z+1/2'
'y,x,z+1/2'
'-x,y+1/2,-z+1/2'
'x,-y+1/2,z+1/2'
'y+1/2,x+1/2,-z+1/2'
'-y+1/2,-x+1/2,z+1/2'
loop_
_atom_site_label
_atom_site_type_symbol
_atom_site_fract_x
_atom_site_fract_y
_atom_site_fract_z
Mg1 Mg 0.250 0.750 0.000
Co1 Co 0.250 0.250 0.071
Si1 Si 0.010 0.586 0.145
O1 O 0.002 0.693 0.624
O2 O 0.014 0.665 0.425
O3 O 0.056 0.556 0.250
```

No. 2
Entry from the Alexandria database: a geometry-optimized Mg6CoSiO8 structure (PBE with a Hubbard U).

Values from the calculation:
mass density = 3.82 Mg/m³
energy above the most stable polymorph in this dataset = 0 meV/atom
total magnetic moment = 0.11 μB per atom

The structure in CIF format:
```
data_Mg6CoSiO8
_cell_length_a 4.296
_cell_length_b 4.296
_cell_length_c 8.495
_cell_angle_alpha 90.00
_cell_angle_beta 90.00
_cell_angle_gamma 90.00
_symmetry_space_group_name_H-M 'P 4/m m m'
_symmetry_Int_Tables_number 123
_symmetry_space_group_name_Hall '-P 4 2'
loop_
_atom_site_label
_atom_site_type_symbol
_atom_site_fract_x
_atom_site_fract_y
_atom_site_fract_z
Mg1 Mg 0.000 0.000 0.000
Mg2 Mg 0.000 0.000 0.500
Mg3 Mg 0.000 0.500 0.240
Co1 Co 0.500 0.500 0.000
Si1 Si 0.500 0.500 0.500
O1 O 0.000 0.000 0.252
O2 O 0.000 0.500 0.000
O3 O 0.000 0.500 0.500
O4 O 0.500 0.500 0.283
```

No. 3
Entry from the Alexandria database: a geometry-optimized MgCo2SnO6 structure (PBE with a Hubbard U).

Values from the calculation:
mass density = 5.67 Mg/m³
electronic total energy = -59.947 eV/cell
total magnetic moment = 0.39 μB per atom

The structure in CIF format:
```
data_MgCo2SnO6
_cell_length_a 5.094
_cell_length_b 5.150
_cell_length_c 5.426
_cell_angle_alpha 61.90
_cell_angle_beta 89.51
_cell_angle_gamma 60.41
_symmetry_space_group_name_H-M 'P 1'
_symmetry_Int_Tables_number 1
loop_
_symmetry_equiv_pos_as_xyz
'x,y,z'
loop_
_atom_site_label
_atom_site_type_symbol
_atom_site_fract_x
_atom_site_fract_y
_atom_site_fract_z
Mg1 Mg 0.000 0.000 0.000
Co1 Co 0.302 0.396 0.904
Co2 Co 0.793 0.423 0.370
Sn1 Sn 0.509 0.982 0.519
O1 O 0.081 0.499 0.181
O2 O 0.190 0.881 0.693
O3 O 0.409 0.913 0.180
O4 O 0.577 0.237 0.684
O5 O 0.674 0.235 0.178
O6 O 0.923 0.500 0.686
```